No. 1
Density functional theory data (GGA-PBE) for TbY5ErTh2 after structural relaxation.

Cell lengths 8.7870, 8.7870, 9.9297 Å; angles 116.26, 116.26, 90.00 degrees
Fractional positions:
Tb1 0.2500 0.2500 0.5000
Tb2 0.7500 0.7500 0.5000
Y1 0.9290 0.4290 0.2784
Y2 0.6507 0.1507 0.7216
Y3 0.0710 0.5710 0.7216
Y4 0.1507 0.0710 0.7216
Y5 0.5710 0.6507 0.7216
Y6 0.8493 0.9290 0.2784
Y7 0.4290 0.3493 0.2784
Y8 0.3493 0.8493 0.2784
Y9 0.5000 0.5000 0.0000
Y10 0.0000 0.0000 0.0000
Er1 0.2500 0.7500 0.5000
Er2 0.7500 0.2500 0.5000
Th1 0.1189 0.3811 0.0000
Th2 0.6189 0.1189 0.0000
Th3 0.3811 0.8811 0.0000
Th4 0.8811 0.6189 0.0000

Output
DOS at the Fermi energy = 1.35 states/eV per atom
calculated formation energy = 0.337 eV per atom

***

No. 2
Density functional theory data (GGA-PBE) for Tb6YErTh2 after structural relaxation.

Cell lengths 10.0652, 8.6403, 8.6403 Å; angles 117.74, 96.16, 96.16 degrees
Fractional positions:
Tb1 0.0514 0.1139 0.7397
Tb2 0.4486 0.2603 0.8861
Tb3 0.9486 0.8861 0.2603
Tb4 0.5514 0.7397 0.1139
Tb5 0.3212 0.9781 0.4268
Tb6 0.1788 0.5732 0.0219
Tb7 0.6788 0.0219 0.5732
Tb8 0.8212 0.4268 0.9781
Tb9 0.1174 0.6944 0.4939
Tb10 0.3826 0.5061 0.3056
Tb11 0.8826 0.3056 0.5061
Tb12 0.6174 0.4939 0.6944
Y1 0.2500 0.9886 0.0114
Y2 0.7500 0.0114 0.9886
Er1 0.2500 0.4036 0.5964
Er2 0.7500 0.5964 0.4036
Th1 0.4569 0.8161 0.7217
Th2 0.0431 0.2783 0.1839
Th3 0.5431 0.1839 0.2783
Th4 0.9569 0.7217 0.8161

Output
DOS at the Fermi energy = 1.46 states/eV per atom
calculated formation energy = 0.149 eV per atom

***

No. 3
Density functional theory data (GGA-PBE) for Tb3Y6Er2Th after structural relaxation.

Cell lengths 6.1679, 6.1679, 11.8019 Å; angles 95.00, 95.00, 119.98 degrees
Fractional positions:
Tb1 0.1673 0.8327 0.5000
Tb2 0.8327 0.1673 0.5000
Tb3 0.5000 0.5000 0.5000
Y1 0.9165 0.5861 0.7514
Y2 0.7531 0.7531 0.2484
Y3 0.0835 0.4139 0.2486
Y4 0.5861 0.9165 0.7514
Y5 0.2469 0.2469 0.7516
Y6 0.4139 0.0835 0.2486
Er1 0.3333 0.6667 0.0000
Er2 0.6667 0.3333 0.0000
Th1 0.0000 0.0000 0.0000

Output
DOS at the Fermi energy = 1.37 states/eV per atom
calculated formation energy = 0.024 eV per atom

***

No. 4
Density functional theory data (GGA-PBE) for Tb2Y6Er3Th after structural relaxation.

Cell lengths 6.1628, 6.1628, 11.7861 Å; angles 95.01, 95.01, 119.95 degrees
Fractional positions:
Tb1 0.3333 0.6667 0.0000
Tb2 0.6667 0.3333 0.0000
Y1 0.9157 0.5854 0.7495
Y2 0.7541 0.7541 0.2505
Y3 0.0843 0.4146 0.2505
Y4 0.5854 0.9157 0.7495
Y5 0.2459 0.2459 0.7495
Y6 0.4146 0.0843 0.2505
Er1 0.1673 0.8327 0.5000
Er2 0.8327 0.1673 0.5000
Er3 0.5000 0.5000 0.5000
Th1 0.0000 0.0000 0.0000

Output
DOS at the Fermi energy = 1.43 states/eV per atom
calculated formation energy = 0.029 eV per atom

***

No. 5
Density functional theory data (GGA-PBE) for Tb2Y6ErTh after structural relaxation.

Cell lengths 9.4847, 8.7960, 8.7960 Å; angles 116.70, 93.44, 93.44 degrees
Fractional positions:
Tb1 0.4465 0.7996 0.7001
Tb2 0.0535 0.2999 0.2004
Tb3 0.5535 0.2004 0.2999
Tb4 0.9465 0.7001 0.7996
Y1 0.0581 0.1198 0.7619
Y2 0.4419 0.2381 0.8802
Y3 0.9419 0.8802 0.2381
Y4 0.5581 0.7619 0.1198
Y5 0.3148 0.9878 0.4296
Y6 0.1852 0.5704 0.0122
Y7 0.6852 0.0122 0.5704
Y8 0.8148 0.4296 0.9878
Y9 0.1125 0.7082 0.4856
Y10 0.3875 0.5144 0.2918
Y11 0.8875 0.2918 0.5144
Y12 0.6125 0.4856 0.7082
Er1 0.2500 0.4102 0.5898
Er2 0.7500 0.5898 0.4102
Th1 0.2500 0.9695 0.0305
Th2 0.7500 0.0305 0.9695

Output
DOS at the Fermi energy = 1.49 states/eV per atom
calculated formation energy = 0.149 eV per atom

***

No. 6
Density functional theory data (GGA-PBE) for TbYErTh after structural relaxation.

Cell lengths 5.6671, 5.6671, 5.6671 Å; angles 60.00, 60.00, 60.00 degrees
Fractional positions:
Y1 0.5000 0.5000 0.5000
Tb1 0.2500 0.2500 0.2500
Th1 0.0000 0.0000 0.0000
Er1 0.7500 0.7500 0.7500

Output
DOS at the Fermi energy = 2.15 states/eV per atom
calculated formation energy = 0.155 eV per atom

***

No. 7
Density functional theory data (GGA-PBE) for TbErThZr after structural relaxation.

Cell lengths 5.4724, 5.4724, 5.4724 Å; angles 60.00, 60.00, 60.00 degrees
Fractional positions:
Tb1 0.7500 0.7500 0.7500
Zr1 0.5000 0.5000 0.5000
Th1 0.2500 0.2500 0.2500
Er1 0.0000 0.0000 0.0000

Output
DOS at the Fermi energy = 1.88 states/eV per atom
calculated formation energy = 0.164 eV per atom

***

No. 8
Density functional theory data (GGA-PBE) for TbEr2Ti after structural relaxation.

Cell lengths 3.4007, 3.4007, 11.0156 Å; angles 81.11, 81.11, 60.00 degrees
Fractional positions:
Tb1 0.5001 0.5001 0.4997
Er1 0.0755 0.0755 0.7734
Er2 0.2580 0.2580 0.2260
Ti1 0.6664 0.6664 0.0009

Output
DOS at the Fermi energy = 1.55 states/eV per atom
calculated formation energy = 0.184 eV per atom

***

No. 9
Density functional theory data (GGA-PBE) for TbErTi after structural relaxation.

Cell lengths 3.3019, 5.2431, 5.2431 Å; angles 120.00, 90.00, 90.00 degrees
Fractional positions:
Ti1 0.1667 0.3333 0.6667
Tb1 0.6666 0.6667 0.3333
Er1 0.1666 0.0000 0.0000

Output
DOS at the Fermi energy = 1.42 states/eV per atom
calculated formation energy = 0.234 eV per atom

***

No. 10
Density functional theory data (GGA-PBE) for Tb2ErTi after structural relaxation.

Cell lengths 3.4119, 3.4119, 9.4246 Å; angles 90.00, 90.00, 90.00 degrees
Fractional positions:
Ti1 0.5000 0.5000 0.0000
Tb1 0.0000 0.0000 0.7781
Tb2 0.0000 0.0000 0.2219
Er1 0.5000 0.5000 0.5000

Output
DOS at the Fermi energy = 1.56 states/eV per atom
calculated formation energy = 0.168 eV per atom

***

No. 11
Density functional theory data (GGA-PBE) for TbEr2Ti after structural relaxation.

Cell lengths 3.3672, 3.3672, 9.5595 Å; angles 90.00, 90.00, 90.00 degrees
Fractional positions:
Ti1 0.5000 0.5000 0.0000
Tb1 0.5000 0.5000 0.5000
Er1 0.0000 0.0000 0.7818
Er2 0.0000 0.0000 0.2182

Output
DOS at the Fermi energy = 1.59 states/eV per atom
calculated formation energy = 0.153 eV per atom

***

No. 12
Density functional theory data (GGA-PBE) for Tb2ErTi after structural relaxation.

Cell lengths 3.3517, 3.3517, 11.8488 Å; angles 81.87, 81.87, 60.00 degrees
Fractional positions:
Ti1 0.0000 0.0000 0.0000
Tb1 0.0842 0.0842 0.7475
Tb2 0.9158 0.9158 0.2525
Er1 0.5000 0.5000 0.5000

Output
DOS at the Fermi energy = 1.61 states/eV per atom
calculated formation energy = 0.421 eV per atom

***

No. 13
Density functional theory data (GGA-PBE) for TbErTi after structural relaxation.

Cell lengths 3.5473, 3.5473, 12.7082 Å; angles 90.00, 90.00, 90.00 degrees
Fractional positions:
Tb1 0.0000 0.5000 0.5965
Tb2 0.5000 0.0000 0.4035
Er1 0.5000 0.0000 0.8025
Er2 0.0000 0.5000 0.1975
Ti1 0.0000 0.5000 0.9566
Ti2 0.5000 0.0000 0.0434

Output
DOS at the Fermi energy = 1.55 states/eV per atom
calculated formation energy = 0.085 eV per atom

***

No. 14
Density functional theory data (GGA-PBE) for TbErTi4 after structural relaxation.

Cell lengths 5.8007, 5.8007, 5.8007 Å; angles 60.00, 60.00, 60.00 degrees
Fractional positions:
Ti1 0.6247 0.6247 0.1260
Ti2 0.6247 0.1260 0.6247
Ti3 0.6247 0.6247 0.6247
Ti4 0.1260 0.6247 0.6247
Tb1 0.0000 0.0000 0.0000
Er1 0.2500 0.2500 0.2500

Output
DOS at the Fermi energy = 1.18 states/eV per atom
calculated formation energy = 0.241 eV per atom

***

No. 15
Density functional theory data (GGA-PBE) for TbEr2Ti after structural relaxation.

Cell lengths 3.3399, 3.3399, 11.8054 Å; angles 81.87, 81.87, 60.00 degrees
Fractional positions:
Ti1 0.0000 0.0000 0.0000
Tb1 0.5000 0.5000 0.5000
Er1 0.0837 0.0837 0.7488
Er2 0.9163 0.9163 0.2512

Output
DOS at the Fermi energy = 1.48 states/eV per atom
calculated formation energy = 0.413 eV per atom

***

No. 16
Density functional theory data (GGA-PBE) for Tb4ErTl7 after structural relaxation.

Cell lengths 5.6447, 9.9374, 7.3466 Å; angles 81.00, 67.41, 73.50 degrees
Fractional positions:
Tb1 0.5851 0.2169 0.6128
Tb2 0.4149 0.7831 0.3872
Tb3 0.7205 0.6731 0.8860
Tb4 0.2795 0.3269 0.1140
Er1 0.0000 0.0000 0.0000
Tl1 0.7860 0.8975 0.5305
Tl2 0.2140 0.1025 0.4695
Tl3 0.0827 0.6759 0.1587
Tl4 0.9173 0.3241 0.8413
Tl5 0.3676 0.5419 0.7230
Tl6 0.5000 0.0000 0.0000
Tl7 0.6324 0.4581 0.2770

Output
DOS at the Fermi energy = 0.52 states/eV per atom
calculated formation energy = -0.117 eV per atom

***

No. 17
Density functional theory data (GGA-PBE) for Tb3Er3Tl after structural relaxation.

Cell lengths 5.5163, 9.3808, 9.3806 Å; angles 120.03, 90.00, 90.00 degrees
Fractional positions:
Tb1 0.2500 0.5220 0.6285
Tb2 0.2500 0.1062 0.4778
Tb3 0.2500 0.3715 0.8938
Tb4 0.7500 0.4780 0.3715
Tb5 0.7500 0.8938 0.5222
Tb6 0.7500 0.6285 0.1062
Er1 0.7500 0.7614 0.8231
Er2 0.7500 0.0620 0.2387
Er3 0.7500 0.1768 0.9383
Er4 0.2500 0.2386 0.1769
Er5 0.2500 0.9380 0.7613
Er6 0.2500 0.8232 0.0617
Tl1 0.7500 0.3332 0.6669
Tl2 0.2500 0.6668 0.3331

Output
DOS at the Fermi energy = 1.39 states/eV per atom
calculated formation energy = -0.068 eV per atom

***

No. 18
Density functional theory data (GGA-PBE) for Tb2Er5Tl5 after structural relaxation.

Cell lengths 5.0081, 6.5734, 12.0818 Å; angles 108.13, 90.00, 112.39 degrees
Fractional positions:
Tb1 0.0709 0.1417 0.7641
Tb2 0.9291 0.8583 0.2359
Er1 0.5000 0.0000 0.5000
Er2 0.6509 0.3018 0.0050
Er3 0.6461 0.2923 0.2877
Er4 0.3539 0.7077 0.7123
Er5 0.3491 0.6982 0.9950
Tl1 0.1531 0.3063 0.4708
Tl2 0.7373 0.4745 0.7848
Tl3 0.2627 0.5255 0.2152
Tl4 0.8469 0.6937 0.5292
Tl5 0.0000 0.0000 0.0000

Output
DOS at the Fermi energy = 0.89 states/eV per atom
calculated formation energy = -0.203 eV per atom

***

No. 19
Density functional theory data (GGA-PBE) for Tb14ErTl after structural relaxation.

Cell lengths 7.0515, 7.0515, 10.0378 Å; angles 90.00, 90.00, 90.01 degrees
Fractional positions:
Tb1 0.3748 0.6252 0.5000
Tb2 0.8749 0.1251 0.5000
Tb3 0.8748 0.6245 0.0000
Tb4 0.8750 0.6252 0.5000
Tb5 0.3755 0.1252 0.0000
Tb6 0.3748 0.1250 0.5000
Tb7 0.6247 0.8747 0.7524
Tb8 0.6247 0.8747 0.2476
Tb9 0.1253 0.3753 0.7524
Tb10 0.1253 0.3753 0.2476
Tb11 0.1255 0.8745 0.7526
Tb12 0.1255 0.8745 0.2474
Tb13 0.6244 0.3756 0.7521
Tb14 0.6244 0.3756 0.2479
Er1 0.3750 0.6250 0.0000
Tl1 0.8753 0.1247 0.0000

Output
DOS at the Fermi energy = 1.39 states/eV per atom
calculated formation energy = -0.014 eV per atom

***

No. 20
Density functional theory data (GGA-PBE) for Tb6Er8Tl after structural relaxation.

Cell lengths 6.6822, 9.1626, 9.1626 Å; angles 120.00, 90.00, 90.00 degrees
Fractional positions:
Tb1 0.6010 0.6833 0.0811
Tb2 0.6010 0.9189 0.6022
Tb3 0.6010 0.3978 0.3167
Tb4 0.3990 0.3167 0.9189
Tb5 0.3990 0.0811 0.3978
Tb6 0.3990 0.6022 0.6833
Er1 0.8934 0.9808 0.3149
Er2 0.8934 0.6851 0.6659
Er3 0.8934 0.3341 0.0192
Er4 0.1066 0.0192 0.6851
Er5 0.1066 0.3149 0.3341
Er6 0.1066 0.6659 0.9808
Er7 0.8154 0.3333 0.6667
Er8 0.1846 0.6667 0.3333
Tl1 0.5000 0.0000 0.0000

Output
DOS at the Fermi energy = 1.30 states/eV per atom
calculated formation energy = 0.210 eV per atom